Material: Be2W
Method: DFT, GGA-PBE
State: optimized geometry

Excess energy over the best structure of this formula in the dataset: 3467.0 meV per atom
SG: Fd-3m (227)

Unit cell a=7.5808 b=7.5808 c=7.5808 alpha=60.00 beta=60.00 gamma=60.00
Last column: nearest neighbours and their distance in Å.
Atoms (fractional coordinates):
Be (0.0000, 0.0000, 0.0000)  2 W 2.32
Be (0.0000, 0.0000, 0.5000)  2 W 2.32
Be (0.0000, 0.5000, 0.0000)  2 W 2.32
Be (0.5000, 0.0000, 0.0000)  2 W 2.32
W (0.1250, 0.1250, 0.1250)  4 Be 2.32
W (0.8750, 0.8750, 0.8750)  4 Be 2.32

Material: BeW5
Method: DFT, GGA-PBE
State: optimized geometry

Energy: -62.8 eV/cell
SG: P6/mmm (191)

Unit cell a=5.2253 b=5.2253 c=4.5672 alpha=90.00 beta=90.00 gamma=120.00
Last column: nearest neighbours and their distance in Å.
Atoms (fractional coordinates):
Be (0.0000, 0.0000, 0.0000)  6 W 3.02
W (0.0000, 0.5000, 0.5000)  8 W 2.61-2.74
W (0.3333, 0.6667, 0.0000)  9 W 2.74-3.02, 3 Be 3.02
W (0.5000, 0.0000, 0.5000)  8 W 2.61-2.74
W (0.5000, 0.5000, 0.5000)  8 W 2.61-2.74
W (0.6667, 0.3333, 0.0000)  9 W 2.74-3.02, 3 Be 3.02